Entry 1:
Below is crystalline PmGd2Hf at its relaxed geometry, with properties calculated at the PBE level.

abc: 3.426 3.426 10.116
angles: 90.00 90.00 90.00
Positions (direct):
Pm  0.000  0.000  0.000
Gd  0.500  0.500  0.275
Gd  0.500  0.500  0.725
Hf  0.000  0.000  0.500

Output
As for the space-group type: P4/mmm (123). The value obtained for the uncorrected energy is -42.41 eV for the cell shown. As for the distance to the lowest polymorph of the same formula: 0.000 eV/f.u. The value obtained for the formation enthalpy at 0 K is 0.1133 eV/atom. The density of states at the Fermi level comes out at 6.0 states/eV/f.u.

Entry 2:
Below is crystalline PmGd2Hf at its relaxed geometry, with properties calculated at the PBE level.

abc: 4.884 4.884 4.915
angles: 90.00 90.00 90.00
Positions (direct):
Pm  0.000  0.000  0.000
Gd  0.000  0.500  0.500
Gd  0.500  0.000  0.500
Hf  0.500  0.500  0.000

Output
As for the space-group type: P4/mmm (123). The value obtained for the uncorrected energy is -42.22 eV for the cell shown. As for the distance to the lowest polymorph of the same formula: 0.195 eV/f.u. The value obtained for the formation enthalpy at 0 K is 0.1621 eV/atom. The density of states at the Fermi level comes out at 5.0 states/eV/f.u.

Entry 3:
Below is crystalline PmGdHf at its relaxed geometry, with properties calculated at the PBE level.

abc: 5.420 5.420 3.377
angles: 90.00 90.00 120.00
Positions (direct):
Pm  0.000  0.000  0.000
Gd  0.667  0.333  0.500
Hf  0.333  0.667  0.000

Output
As for the space-group type: P-6m2 (187). The value obtained for the uncorrected energy is -28.08 eV for the cell shown. As for the distance to the lowest polymorph of the same formula: 0.266 eV/f.u. The value obtained for the formation enthalpy at 0 K is 0.2342 eV/atom. The density of states at the Fermi level comes out at 5.8 states/eV/f.u.

Entry 4:
Below is crystalline PrGd2Hf at its relaxed geometry, with properties calculated at the PBE level.

abc: 4.899 4.899 4.956
angles: 90.00 90.00 90.00
Positions (direct):
Pr  0.000  0.000  0.000
Gd  0.000  0.500  0.500
Gd  0.500  0.000  0.500
Hf  0.500  0.500  0.000

Output
As for the space-group type: P4/mmm (123). The value obtained for the uncorrected energy is -42.21 eV for the cell shown. As for the distance to the lowest polymorph of the same formula: 0.232 eV/f.u. The value obtained for the formation enthalpy at 0 K is 0.1713 eV/atom. The density of states at the Fermi level comes out at 4.9 states/eV/f.u.

Entry 5:
Below is crystalline PrGd2Hf at its relaxed geometry, with properties calculated at the PBE level.

abc: 3.434 3.434 10.234
angles: 90.00 90.00 90.00
Positions (direct):
Pr  0.000  0.000  0.000
Gd  0.500  0.500  0.278
Gd  0.500  0.500  0.722
Hf  0.000  0.000  0.500

Output
As for the space-group type: P4/mmm (123). The value obtained for the uncorrected energy is -42.44 eV for the cell shown. As for the distance to the lowest polymorph of the same formula: 0.000 eV/f.u. The value obtained for the formation enthalpy at 0 K is 0.1133 eV/atom. The density of states at the Fermi level comes out at 6.1 states/eV/f.u.

Entry 6:
Below is crystalline GdHfPt2 at its relaxed geometry, with properties calculated at the PBE level.

abc: 3.344 3.344 7.262
angles: 90.00 90.00 90.00
Positions (direct):
Gd  0.000  0.000  0.000
Hf  0.000  0.000  0.500
Pt  0.500  0.500  0.291
Pt  0.500  0.500  0.709

Output
As for the space-group type: P4/mmm (123). The value obtained for the uncorrected energy is -40.49 eV for the cell shown. The value obtained for the formation enthalpy at 0 K is -1.0932 eV/atom. The density of states at the Fermi level comes out at 3.2 states/eV/f.u.

Entry 7:
Below is crystalline GdHfPt at its relaxed geometry, with properties calculated at the PBE level.

abc: 6.387 6.387 6.387
angles: 148.88 148.88 44.59
Positions (direct):
Gd  0.000  0.000  0.000
Hf  0.708  0.708  0.000
Pt  0.315  0.315  0.000

Output
As for the space-group type: I4mm (107). The value obtained for the uncorrected energy is -32.11 eV for the cell shown. The value obtained for the formation enthalpy at 0 K is -0.6789 eV/atom. The density of states at the Fermi level comes out at 3.2 states/eV/f.u.

Entry 8:
Below is crystalline GdHfPtRh at its relaxed geometry, with properties calculated at the PBE level.

abc: 4.803 4.803 4.803
angles: 60.00 60.00 60.00
Positions (direct):
Gd  0.000  0.000  0.000
Hf  0.500  0.500  0.500
Pt  0.750  0.750  0.750
Rh  0.250  0.250  0.250

Output
As for the space-group type: F-43m (216). The value obtained for the uncorrected energy is -40.84 eV for the cell shown. The value obtained for the formation enthalpy at 0 K is -0.8529 eV/atom. The density of states at the Fermi level comes out at 4.8 states/eV/f.u.

Entry 9:
Below is crystalline GdPuHf at its relaxed geometry, with properties calculated at the PBE level.

abc: 7.627 7.627 7.627
angles: 154.98 154.98 35.68
Positions (direct):
Gd  0.000  0.000  0.000
Pu  0.684  0.684  0.000
Hf  0.335  0.335  0.000

Output
As for the space-group type: I4mm (107). The value obtained for the uncorrected energy is -37.86 eV for the cell shown. As for the distance to the lowest polymorph of the same formula: 0.000 eV/f.u. The value obtained for the formation enthalpy at 0 K is 0.1673 eV/atom. The density of states at the Fermi level comes out at 7.0 states/eV/f.u.

Entry 10:
Below is crystalline GdPuHf at its relaxed geometry, with properties calculated at the PBE level.

abc: 5.322 5.322 3.109
angles: 90.00 90.00 120.00
Positions (direct):
Gd  0.000  0.000  0.000
Pu  0.667  0.333  0.000
Hf  0.333  0.667  0.500

Output
As for the space-group type: P-6m2 (187). The value obtained for the uncorrected energy is -37.73 eV for the cell shown. As for the distance to the lowest polymorph of the same formula: 0.132 eV/f.u. The value obtained for the formation enthalpy at 0 K is 0.2115 eV/atom. The density of states at the Fermi level comes out at 9.8 states/eV/f.u.

Entry 11:
Below is crystalline GdHfRe4 at its relaxed geometry, with properties calculated at the PBE level.

abc: 5.365 5.365 5.365
angles: 60.00 60.00 60.00
Positions (direct):
Gd  0.000  0.000  0.000
Hf  0.250  0.250  0.250
Re  0.126  0.625  0.625
Re  0.625  0.126  0.625
Re  0.625  0.625  0.126
Re  0.625  0.625  0.625

Output
As for the space-group type: F-43m (216). The value obtained for the uncorrected energy is -74.92 eV for the cell shown. The value obtained for the formation enthalpy at 0 K is -0.1817 eV/atom. The density of states at the Fermi level comes out at 8.9 states/eV/f.u.

Entry 12:
Below is crystalline GdHfZnRe at its relaxed geometry, with properties calculated at the PBE level.

abc: 4.807 4.807 4.807
angles: 60.00 60.00 60.00
Positions (direct):
Gd  0.000  0.000  0.000
Hf  0.500  0.500  0.500
Zn  0.250  0.250  0.250
Re  0.750  0.750  0.750

Output
As for the space-group type: F-43m (216). The value obtained for the uncorrected energy is -38.02 eV for the cell shown. The value obtained for the formation enthalpy at 0 K is -0.0671 eV/atom. The density of states at the Fermi level comes out at 4.2 states/eV/f.u.

Entry 13:
Below is crystalline GdHfRh at its relaxed geometry, with properties calculated at the PBE level.

abc: 6.250 6.250 6.250
angles: 148.52 148.52 45.11
Positions (direct):
Gd  0.000  0.000  0.000
Hf  0.288  0.288  0.000
Rh  0.677  0.677  0.000

Output
As for the space-group type: I4mm (107). The value obtained for the uncorrected energy is -32.82 eV for the cell shown. The value obtained for the formation enthalpy at 0 K is -0.4795 eV/atom. The density of states at the Fermi level comes out at 2.8 states/eV/f.u.

Entry 14:
Below is crystalline Gd2HfRh at its relaxed geometry, with properties calculated at the PBE level.

abc: 3.485 3.485 7.860
angles: 90.00 90.00 90.00
Positions (direct):
Gd  0.000  0.000  0.213
Gd  0.000  0.000  0.787
Hf  0.500  0.500  0.500
Rh  0.500  0.500  0.000

Output
As for the space-group type: P4/mmm (123). The value obtained for the uncorrected energy is -46.46 eV for the cell shown. The value obtained for the formation enthalpy at 0 K is -0.2492 eV/atom. The density of states at the Fermi level comes out at 4.5 states/eV/f.u.

Entry 15:
Below is crystalline GdHf2Rh at its relaxed geometry, with properties calculated at the PBE level.

abc: 3.328 3.328 7.807
angles: 90.00 90.00 90.00
Positions (direct):
Gd  0.000  0.000  0.000
Hf  0.500  0.500  0.300
Hf  0.500  0.500  0.700
Rh  0.000  0.000  0.500

Output
As for the space-group type: P4/mmm (123). The value obtained for the uncorrected energy is -42.53 eV for the cell shown. The value obtained for the formation enthalpy at 0 K is -0.2977 eV/atom. The density of states at the Fermi level comes out at 5.9 states/eV/f.u.

Entry 16:
Below is crystalline GdHfRu2 at its relaxed geometry, with properties calculated at the PBE level.

abc: 3.308 3.308 6.774
angles: 90.00 90.00 90.00
Positions (direct):
Gd  0.000  0.000  0.000
Hf  0.000  0.000  0.500
Ru  0.500  0.500  0.272
Ru  0.500  0.500  0.728

Output
As for the space-group type: P4/mmm (123). The value obtained for the uncorrected energy is -44.75 eV for the cell shown. The value obtained for the formation enthalpy at 0 K is -0.5406 eV/atom. The density of states at the Fermi level comes out at 1.9 states/eV/f.u.

Entry 17:
Below is crystalline GdHfTcRu at its relaxed geometry, with properties calculated at the PBE level.

abc: 4.717 4.717 4.717
angles: 60.00 60.00 60.00
Positions (direct):
Gd  0.000  0.000  0.000
Hf  0.500  0.500  0.500
Tc  0.250  0.250  0.250
Ru  0.750  0.750  0.750

Output
As for the space-group type: F-43m (216). The value obtained for the uncorrected energy is -44.73 eV for the cell shown. The value obtained for the formation enthalpy at 0 K is -0.2627 eV/atom. The density of states at the Fermi level comes out at 4.1 states/eV/f.u.

Entry 18:
Below is crystalline GdHfZnRu at its relaxed geometry, with properties calculated at the PBE level.

abc: 4.799 4.799 4.799
angles: 60.00 60.00 60.00
Positions (direct):
Gd  0.000  0.000  0.000
Hf  0.500  0.500  0.500
Zn  0.250  0.250  0.250
Ru  0.750  0.750  0.750

Output
As for the space-group type: F-43m (216). The value obtained for the uncorrected energy is -35.75 eV for the cell shown. The value obtained for the formation enthalpy at 0 K is -0.2907 eV/atom. The density of states at the Fermi level comes out at 2.7 states/eV/f.u.

Entry 19:
Below is crystalline GdHfS2 at its relaxed geometry, with properties calculated at the PBE level.

abc: 6.551 6.551 6.551
angles: 33.71 33.71 33.71
Positions (direct):
Gd  0.000  0.000  0.000
Hf  0.500  0.500  0.500
S  0.243  0.243  0.243
S  0.757  0.757  0.757

Output
As for the space-group type: R-3m (166). The value obtained for the uncorrected energy is -38.75 eV for the cell shown. The density of states at the Fermi level comes out at 1.7 states/eV/f.u.

Entry 20:
Below is crystalline Gd2HfS5 at its relaxed geometry, with properties calculated at the PBE level.

abc: 11.547 7.830 7.297
angles: 90.00 90.00 90.00
Positions (direct):
Gd  0.178  0.002  0.027
Gd  0.178  0.498  0.027
Gd  0.322  0.502  0.527
Gd  0.322  0.998  0.527
Gd  0.678  0.002  0.473
Gd  0.678  0.498  0.473
Gd  0.822  0.502  0.973
Gd  0.822  0.998  0.973
Hf  0.007  0.750  0.575
Hf  0.493  0.250  0.075
Hf  0.507  0.750  0.925
Hf  0.993  0.250  0.425
S  0.004  0.750  0.946
S  0.090  0.036  0.662
S  0.090  0.464  0.662
S  0.182  0.750  0.337
S  0.207  0.250  0.315
S  0.293  0.750  0.815
S  0.318  0.250  0.837
S  0.410  0.536  0.162
S  0.410  0.964  0.162
S  0.496  0.250  0.446
S  0.504  0.750  0.554
S  0.590  0.036  0.838
S  0.590  0.464  0.838
S  0.682  0.750  0.163
S  0.707  0.250  0.185
S  0.793  0.750  0.685
S  0.818  0.250  0.663
S  0.910  0.536  0.338
S  0.910  0.964  0.338
S  0.996  0.250  0.054

Output
As for the space-group type: Pnma (62). The value obtained for the uncorrected energy is -295.74 eV for the cell shown.